# Ce2Mg5Zn12

Crystalline Ce2Mg5Zn12 at its relaxed geometry (PBE-GGA, Alexandria via LeMat-Bulk).

Values from the calculation:
calculated volume = 1037.0 Å³ per cell
magnetization = 0.10 μB per atom
energy relative to the elements = -3.25 eV per formula unit

Cell: 9.2991 9.2991 13.8479 Å, 90.00 90.00 120.00°
Closest atoms and distances in Å follow each position.
Space group R-3m (No. 166, hexagonal axes)
One atom of each set of equivalent atoms:
Ce: 0.0000 0.0000 0.1575 x6  15 Zn 3.22-3.56, 1 Mg 3.35
Mg: 0.0000 0.0000 0.3993 x6  4 Mg 2.79-2.84, 9 Zn 3.03-3.08
Mg: 0.0000 0.5000 0.0000 x9  8 Zn 2.70-2.76, 2 Mg 2.84
Zn: 0.0000 0.2950 0.5000 x18  2 Mg 2.70, 6 Zn 2.74-2.92
Zn: 0.0151 0.5075 0.6494 x18  4 Zn 2.61-2.82, 2 Mg 2.76

---

# LaCeDyCd

Crystalline LaCeDyCd at its relaxed geometry (PBE-GGA, Alexandria via LeMat-Bulk).

Values from the calculation:
calculated volume = 464.8 Å³ per cell
magnetization = 0.69 μB per atom
energy relative to the elements = 0.19 eV per formula unit

Cell: 7.7461 7.7461 7.7461 Å, 90.00 90.00 90.00°
Closest atoms and distances in Å follow each position.
Space group F-43m (No. 216)
One atom of each set of equivalent atoms:
La: 0.0000 0.0000 0.0000 x4  4 Cd 3.35, 4 Ce 3.35
Ce: 0.2500 0.2500 0.2500 x4  4 La 3.35, 4 Dy 3.35
Dy: 0.0000 0.0000 0.5000 x4  4 Cd 3.35, 4 Ce 3.35
Cd: 0.2500 0.2500 0.7500 x4  4 La 3.35, 4 Dy 3.35

---

# U2P2Ru5

Crystalline U2P2Ru5 at its relaxed geometry (PBE-GGA, Alexandria via LeMat-Bulk).

Values from the calculation:
calculated volume = 141.9 Å³ per cell
magnetization = 0.15 μB per atom
energy relative to the elements = -5.66 eV per formula unit

Cell: 4.0546 4.0546 8.6341 Å, 90.00 90.00 90.00°
Closest atoms and distances in Å follow each position.
Space group P4/mmm (No. 123)
One atom of each set of equivalent atoms:
U: 0.0000 0.0000 0.0000 x1  8 Ru 3.07, 8 P 3.08
U: 0.0000 0.0000 0.5000 x1  12 Ru 2.86-2.87
P: 0.5000 0.5000 0.1318 x2  1 P 2.28, 4 Ru 2.34
Ru: 0.0000 0.5000 0.2669 x4  2 P 2.34
Ru: 0.5000 0.5000 0.5000 x1  8 Ru 2.86, 4 U 2.87, 2 P 3.18

---

# Tb3Y2Mg

Crystalline Tb3Y2Mg at its relaxed geometry (PBE-GGA, Alexandria via LeMat-Bulk).

Values from the calculation:
calculated volume = 184.3 Å³ per cell
magnetization = 0.00 μB per atom
energy relative to the elements = -0.07 eV per formula unit

Cell: 3.5894 3.5894 14.3066 Å, 90.00 90.00 90.00°
Closest atoms and distances in Å follow each position.
Space group P4/mmm (No. 123)
One atom of each set of equivalent atoms:
Tb: 0.0000 0.0000 0.0000 x1  8 Y 3.57, 4 Tb 3.59
Tb: 0.0000 0.0000 0.3490 x2  4 Mg 3.33, 4 Y 3.55, 4 Tb 3.59
Y: 0.5000 0.5000 0.1760 x2  8 Tb 3.55-3.57, 4 Y 3.59
Mg: 0.5000 0.5000 0.5000 x1  8 Tb 3.33, 4 Mg 3.59

---

# Ta2CdAg

Crystalline Ta2CdAg at its relaxed geometry (PBE-GGA, Alexandria via LeMat-Bulk).

Values from the calculation:
calculated volume = 151.2 Å³ per cell
magnetization = 0.00 μB per atom
energy relative to the elements = 1.57 eV per formula unit

Cell: 3.0131 5.1288 9.7822 Å, 90.00 90.00 90.00°
Closest atoms and distances in Å follow each position.
Space group Imm2 (No. 44)
One atom of each set of equivalent atoms:
Ta: 0.0000 0.0000 0.0000 x2  4 Ta 2.76-3.01, 2 Ag 2.86, 4 Cd 2.97
Ta: 0.0000 0.5000 0.2635 x2  4 Ta 2.76-3.01, 4 Ag 2.98, 2 Cd 3.02
Cd: 0.0000 0.0000 0.4955 x2  2 Ag 2.84, 6 Ta 2.97-3.02, 2 Cd 3.01
Ag: 0.0000 0.5000 0.7489 x2  2 Cd 2.84, 6 Ta 2.86-2.98, 2 Ag 3.01

---

# AcNiAu11

Crystalline AcNiAu11 at its relaxed geometry (PBE-GGA, Alexandria via LeMat-Bulk).

Values from the calculation:
calculated volume = 509.2 Å³ per cell
magnetization = 0.00 μB per atom
energy relative to the elements = -3.03 eV per formula unit

Cell: 5.6032 13.5916 7.2258 Å, 90.00 112.29 90.00°
Closest atoms and distances in Å follow each position.
Space group C2/m (No. 12)
One atom of each set of equivalent atoms:
Ac: 0.0000 0.0000 0.0000 x2  18 Au 3.32-3.68, 2 Ni 3.61
Ni: 0.0000 0.0000 0.5000 x2  10 Au 2.73-2.80
Au: 0.0000 0.5000 0.5000 x2  8 Au 2.76-2.92, 2 Ni 2.80
Au: 0.1188 0.3942 0.2198 x8  1 Ni 2.73, 7 Au 2.76-2.95
Au: 0.1570 0.1690 0.3584 x8  1 Ni 2.79, 6 Au 2.92-3.04
Au: 0.2500 0.2500 0.0000 x4  10 Au 2.79-3.04